(1)
## CoSbOs2 (GGA-PBE)

Data for a relaxed structure of CoSbOs2.

Output
**Calculated density**: 15.5 g cm⁻³
**E**: -31.3 eV for the cell shown
**E above lowest polymorph**: 0.164 eV/atom
**Magnetic moment**: 0.8 μB per formula unit

Lattice parameters (Å, degrees): 3.0838 3.0838 6.3398 90.00 90.00 90.00
Closest atoms and distances in Å follow each position.
Element x y z (fractional)
Co 0.0000 0.0000 0.0000  8 Os 2.57
Sb 0.0000 0.0000 0.5000  8 Os 2.84, 4 Sb 3.08, 2 Co 3.17
Os 0.5000 0.5000 0.2137  4 Co 2.57, 1 Os 2.71, 4 Sb 2.84
Os 0.5000 0.5000 0.7863  4 Co 2.57, 1 Os 2.71, 4 Sb 2.84


(2)
## Zn2HgW (GGA-PBE)

Data for a relaxed structure of Zn2HgW.

Output
**Calculated density**: 12.7 g cm⁻³
**E**: -13.6 eV for the cell shown
**DFT formation energy**: 2.208 eV per formula unit
**Magnetic moment**: 0.0 μB per formula unit

Lattice parameters (Å, degrees): 3.0471 4.5500 4.8456 90.00 90.00 90.00
Closest atoms and distances in Å follow each position.
Element x y z (fractional)
Zn 0.0000 0.0000 0.0000  4 W 2.74, 6 Zn 2.86-3.05
Zn 0.5000 0.0000 0.5000  4 Hg 2.74, 6 Zn 2.86-3.05
Hg 0.0000 0.5000 0.5000  4 Zn 2.74, 4 W 2.86, 2 Hg 3.05
W 0.5000 0.5000 0.0000  4 Zn 2.74, 4 Hg 2.86, 2 W 3.05


(3)
## KRb3Ru2O8 (GGA-PBE)

Data for a relaxed structure of KRb3Ru2O8.

Output
**Calculated density**: 3.5 g cm⁻³
**E**: -80.6 eV for the cell shown
**Magnetic moment**: 4.0 μB per formula unit

Lattice parameters (Å, degrees): 6.4136 6.4136 8.2349 90.00 90.00 120.00
Closest atoms and distances in Å follow each position.
Element x y z (fractional)
K 0.0000 0.0000 0.0000  6 O 2.66
Rb 0.0000 0.0000 0.5000  6 O 3.15
Rb 0.3333 0.6667 0.1624  1 O 2.72
Rb 0.6667 0.3333 0.8376  1 O 2.72
Ru 0.3333 0.6667 0.7081  4 O 1.77-1.81
Ru 0.6667 0.3333 0.2919  4 O 1.77-1.81
O 0.1831 0.3662 0.7922  1 Ru 1.81
O 0.1831 0.8169 0.7922  1 Ru 1.81
O 0.3333 0.6667 0.4930  1 Ru 1.77
O 0.3662 0.1831 0.2078  1 Ru 1.81
O 0.6338 0.8169 0.7922  1 Ru 1.81
O 0.6667 0.3333 0.5070  1 Ru 1.77
O 0.8169 0.1831 0.2078  1 Ru 1.81
O 0.8169 0.6338 0.2078  1 Ru 1.81


(4)
## Y8Se6S (GGA-PBE)

Data for a relaxed structure of Y8Se6S.

Output
**Calculated density**: 5.3 g cm⁻³
**E**: -96.8 eV for the cell shown
**Magnetic moment**: 0.0 μB per formula unit

Lattice parameters (Å, degrees): 10.3522 10.3522 4.1228 90.00 90.00 120.00
Closest atoms and distances in Å follow each position.
Element x y z (fractional)
Y 0.0320 0.3113 0.2363  3 Se 2.78-2.86
Y 0.2793 0.9680 0.2363  3 Se 2.78-2.86
Y 0.3113 0.2793 0.7637  3 Se 2.78-2.86
Y 0.3333 0.6667 0.7562  6 Se 2.90
Y 0.6667 0.3333 0.2438  6 Se 2.90
Y 0.6887 0.7207 0.2363  3 Se 2.78-2.86
Y 0.7207 0.0320 0.7637  3 Se 2.78-2.86
Y 0.9680 0.6887 0.7637  3 Se 2.78-2.86
Se 0.1284 0.6493 0.2571  5 Y 2.78-2.90
Se 0.3507 0.4791 0.2571  5 Y 2.78-2.90
Se 0.4791 0.1284 0.7429  5 Y 2.78-2.90
Se 0.5209 0.8716 0.2571  5 Y 2.78-2.90
Se 0.6493 0.5209 0.7429  5 Y 2.78-2.90
Se 0.8716 0.3507 0.7429  5 Y 2.78-2.90
S 0.0000 0.0000 0.0000  6 Y 3.22


(5)
## SrAl11Pd (GGA-PBE)

Data for a relaxed structure of SrAl11Pd.

Output
**Calculated density**: 3.5 g cm⁻³
**E**: -50.7 eV for the cell shown
**DFT formation energy**: -2.651 eV per formula unit
**Magnetic moment**: 0.0 μB per formula unit

Lattice parameters (Å, degrees): 6.9477 6.9477 7.4023 96.82 96.82 135.93
Closest atoms and distances in Å follow each position.
Element x y z (fractional)
Sr 0.0000 0.0000 0.0000  18 Al 3.36-3.70
Al 0.0000 0.0000 0.5000  2 Pd 2.61, 8 Al 2.74-2.78
Al 0.0000 0.5000 0.0000  6 Al 2.61-2.77
Al 0.0035 0.6488 0.6422  8 Al 2.74-3.01, 1 Pd 2.84
Al 0.2766 0.4986 0.7679  1 Pd 2.66, 7 Al 2.73-2.91
Al 0.3512 0.9965 0.3578  8 Al 2.74-3.01, 1 Pd 2.84
Al 0.4986 0.2766 0.7679  1 Pd 2.66, 7 Al 2.73-2.91
Al 0.5000 0.0000 0.0000  6 Al 2.61-2.77
Al 0.5014 0.7234 0.2321  1 Pd 2.66, 7 Al 2.73-2.91
Al 0.6488 0.0035 0.6422  8 Al 2.74-3.01, 1 Pd 2.84
Al 0.7234 0.5014 0.2321  1 Pd 2.66, 7 Al 2.73-2.91
Al 0.9965 0.3512 0.3578  8 Al 2.74-3.01, 1 Pd 2.84
Pd 0.5000 0.5000 0.5000  10 Al 2.61-2.84


(6)
## CaCrCl2 (GGA-PBE)

Data for a relaxed structure of CaCrCl2.

Output
**Calculated density**: 2.9 g cm⁻³
**E**: -17.1 eV for the cell shown
**E above lowest polymorph**: 0.474 eV/atom
**Magnetic moment**: 6.0 μB per formula unit

Lattice parameters (Å, degrees): 5.1206 5.1206 5.1206 60.00 60.00 60.00
Closest atoms and distances in Å follow each position.
Element x y z (fractional)
Ca 0.0000 0.0000 0.0000  4 Cl 3.14, 4 Cr 3.14
Cr 0.2500 0.2500 0.2500  4 Cl 3.14, 4 Ca 3.14
Cl 0.5000 0.5000 0.5000  4 Cl 3.14, 4 Cr 3.14
Cl 0.7500 0.7500 0.7500  4 Cl 3.14, 4 Ca 3.14


(7)
## Pm2Al4CoAu3 (GGA-PBE)

Data for a relaxed structure of Pm2Al4CoAu3.

Output
**Calculated density**: 8.9 g cm⁻³
**E**: -47.8 eV for the cell shown
**DFT formation energy**: -6.401 eV per formula unit
**Magnetic moment**: 1.0 μB per formula unit

Lattice parameters (Å, degrees): 4.3013 4.3013 10.5859 90.00 90.00 90.00
Closest atoms and distances in Å follow each position.
Element x y z (fractional)
Pm 0.0000 0.5000 0.2408  8 Al 3.29-3.49, 6 Au 3.30-3.34, 2 Co 3.34
Pm 0.5000 0.0000 0.7592  8 Al 3.29-3.49, 6 Au 3.30-3.34, 2 Co 3.34
Al 0.0000 0.0000 0.5000  4 Au 2.60
Al 0.0000 0.5000 0.8781  2 Co 2.51, 3 Au 2.51-2.54
Al 0.5000 0.0000 0.1219  2 Co 2.51, 3 Au 2.51-2.54
Al 0.5000 0.5000 0.5000  4 Au 2.60
Co 0.5000 0.5000 0.0000  4 Al 2.51
Au 0.0000 0.0000 0.0000  4 Al 2.51
Au 0.0000 0.5000 0.6381  5 Al 2.54-2.60
Au 0.5000 0.0000 0.3619  5 Al 2.54-2.60


(8)
## DyInCuPd (GGA-PBE)

Data for a relaxed structure of DyInCuPd.

Output
**Calculated density**: 9.7 g cm⁻³
**E**: -18.8 eV for the cell shown
**DFT formation energy**: -2.185 eV per formula unit
**Magnetic moment**: 0.0 μB per formula unit

Lattice parameters (Å, degrees): 4.7702 4.7702 4.7702 60.00 60.00 60.00
Closest atoms and distances in Å follow each position.
Element x y z (fractional)
Dy 0.0000 0.0000 0.0000  4 Cu 2.92, 4 Pd 2.92
In 0.5000 0.5000 0.5000  4 Cu 2.92, 4 Pd 2.92
Cu 0.7500 0.7500 0.7500  4 In 2.92, 4 Dy 2.92
Pd 0.2500 0.2500 0.2500  4 In 2.92, 4 Dy 2.92


(9)
## CaSnIr (GGA-PBE)

Data for a relaxed structure of CaSnIr.

Output
**Calculated density**: 8.9 g cm⁻³
**E**: -16.0 eV for the cell shown
**DFT formation energy**: -1.169 eV per formula unit
**Magnetic moment**: 0.0 μB per formula unit

Lattice parameters (Å, degrees): 4.6775 4.6775 3.4726 90.00 90.00 120.00
Closest atoms and distances in Å follow each position.
Element x y z (fractional)
Ca 0.0000 0.0000 0.0000  6 Sn 3.21, 6 Ir 3.21, 2 Ca 3.47
Sn 0.3333 0.6667 0.5000  3 Ir 2.70
Ir 0.6667 0.3333 0.5000  3 Sn 2.70


(10)
## CdCuBr2 (GGA-PBE)

Data for a relaxed structure of CdCuBr2.

Output
**Calculated density**: 6.1 g cm⁻³
**E**: -8.0 eV for the cell shown
**E above lowest polymorph**: 0.386 eV/atom
**Magnetic moment**: 0.0 μB per formula unit

Lattice parameters (Å, degrees): 5.0632 5.0632 3.5808 90.00 90.00 90.00
Closest atoms and distances in Å follow each position.
Element x y z (fractional)
Cd 0.0000 0.0000 0.0000  8 Br 3.10
Cu 0.5000 0.5000 0.0000  8 Br 3.10
Br 0.0000 0.5000 0.5000  4 Cu 3.10, 4 Cd 3.10
Br 0.5000 0.0000 0.5000  4 Cu 3.10, 4 Cd 3.10


(11)
## HoMgNi (GGA-PBE)

Data for a relaxed structure of HoMgNi.

Output
**Calculated density**: 6.2 g cm⁻³
**E**: -12.4 eV for the cell shown
**DFT formation energy**: -0.487 eV per formula unit
**Magnetic moment**: 0.0 μB per formula unit

Lattice parameters (Å, degrees): 4.5420 4.5420 4.5420 60.00 60.00 60.00
Closest atoms and distances in Å follow each position.
Element x y z (fractional)
Ho 0.0000 0.0000 0.0000  4 Ni 2.78
Mg 0.5000 0.5000 0.5000  4 Ni 2.78
Ni 0.7500 0.7500 0.7500  4 Ho 2.78, 4 Mg 2.78


(12)
## BaBiBO4 (GGA-PBE)

Data for a relaxed structure of BaBiBO4.

Output
**Calculated density**: 6.6 g cm⁻³
**E**: -94.6 eV for the cell shown
**E above lowest polymorph**: 0.071 eV/atom
**Magnetic moment**: 0.0 μB per formula unit

Lattice parameters (Å, degrees): 5.7133 5.3925 7.3597 90.00 111.46 90.00
Closest atoms and distances in Å follow each position.
Element x y z (fractional)
Ba 0.2048 0.2500 0.4493  8 O 2.71-2.98
Ba 0.7952 0.7500 0.5507  8 O 2.71-2.98
Bi 0.2711 0.2500 0.9936  4 O 2.20-2.41
Bi 0.7289 0.7500 0.0064  4 O 2.20-2.41
B 0.2567 0.7500 0.1972  4 O 1.49-1.54
B 0.7433 0.2500 0.8028  4 O 1.49-1.54
O 0.0840 0.7500 0.3109  1 B 1.51
O 0.0987 0.7500 0.9766  1 B 1.54
O 0.4193 0.5250 0.2432  1 B 1.49
O 0.4193 0.9750 0.2432  1 B 1.49
O 0.5807 0.0250 0.7568  1 B 1.49
O 0.5807 0.4750 0.7568  1 B 1.49
O 0.9013 0.2500 0.0234  1 B 1.54
O 0.9160 0.2500 0.6891  1 B 1.51